# TaSn2W | Alexandria via LeMat-Bulk | PBE | optimized geometry
# Spin magnetization (Bohr magnetons per cell): 0.00
# Calculated volume (Å³/cell): 168.9
# ΔE to the lowest computed polymorph (eV per atom): 0.158
# N(E_F) (states/eV/cell): 4.617
data_TaSn2W
_space_group_name_H-M_alt 'P 1'
_space_group_IT_number 1
_cell_length_a 4.078
_cell_length_b 4.078
_cell_length_c 10.559
_cell_angle_alpha 78.87
_cell_angle_beta 78.87
_cell_angle_gamma 90.00
loop_
_space_group_symop_operation_xyz
'x,y,z'
loop_
_atom_site_label
_atom_site_fract_x
_atom_site_fract_y
_atom_site_fract_z
_atom_site_occupancy
Ta1 0.500 0.500 0.000 1
Sn1 0.375 0.376 0.750 1
W1 0.750 0.250 0.500 1
Ta2 0.250 0.750 0.500 1
Sn2 0.126 0.625 0.250 1
Sn3 0.624 0.125 0.250 1
Sn4 0.875 0.874 0.750 1
W2 0.000 0.000 0.000 1



# TaSn2W | Alexandria via LeMat-Bulk | PBE | optimized geometry
# Spin magnetization (Bohr magnetons per cell): 0.00
# Calculated volume (Å³/cell): 76.4
# ΔE to the lowest computed polymorph (eV per atom): 0.000
# N(E_F) (states/eV/cell): 2.615
data_TaSn2W
_space_group_name_H-M_alt 'P 1'
_space_group_IT_number 1
_cell_length_a 4.763
_cell_length_b 4.763
_cell_length_c 4.763
_cell_angle_alpha 60.00
_cell_angle_beta 60.00
_cell_angle_gamma 60.00
loop_
_space_group_symop_operation_xyz
'x,y,z'
loop_
_atom_site_label
_atom_site_fract_x
_atom_site_fract_y
_atom_site_fract_z
_atom_site_occupancy
Ta1 0.000 0.000 0.000 1
Sn1 0.750 0.750 0.750 1
W1 0.500 0.500 0.500 1
Sn2 0.250 0.250 0.250 1



# TaZn2SnW | Alexandria via LeMat-Bulk | PBE | optimized geometry
# Spin magnetization (Bohr magnetons per cell): 0.00
# Calculated volume (Å³/cell): 118.6
# N(E_F) (states/eV/cell): 3.686
data_TaZn2SnW
_space_group_name_H-M_alt 'P 1'
_space_group_IT_number 1
_cell_length_a 4.959
_cell_length_b 4.822
_cell_length_c 4.959
_cell_angle_alpha 90.00
_cell_angle_beta 90.00
_cell_angle_gamma 90.00
loop_
_space_group_symop_operation_xyz
'x,y,z'
loop_
_atom_site_label
_atom_site_fract_x
_atom_site_fract_y
_atom_site_fract_z
_atom_site_occupancy
Zn1 0.500 0.000 0.000 1
W1 0.000 0.000 0.000 1
Zn2 0.000 0.000 0.500 1
Ta1 0.000 0.500 0.000 1
Sn1 0.500 0.500 0.500 1



# Y2TaSn | Alexandria via LeMat-Bulk | PBE | optimized geometry
# Spin magnetization (Bohr magnetons per cell): 0.00
# Calculated volume (Å³/cell): 210.5
# N(E_F) (states/eV/cell): 5.673
data_Y2TaSn
_space_group_name_H-M_alt 'P 1'
_space_group_IT_number 1
_cell_length_a 8.309
_cell_length_b 8.309
_cell_length_c 6.619
_cell_angle_alpha 51.12
_cell_angle_beta 51.12
_cell_angle_gamma 90.00
loop_
_space_group_symop_operation_xyz
'x,y,z'
loop_
_atom_site_label
_atom_site_fract_x
_atom_site_fract_y
_atom_site_fract_z
_atom_site_occupancy
Ta1 0.750 0.250 0.500 1
Sn1 0.500 0.500 0.000 1
Sn2 0.250 0.750 0.500 1
Ta2 0.000 0.000 0.000 1
Y1 0.375 0.371 0.750 1
Y2 0.875 0.879 0.750 1
Y3 0.629 0.125 0.250 1
Y4 0.121 0.625 0.250 1



# TaZnSn2 | Alexandria via LeMat-Bulk | PBE | optimized geometry
# Spin magnetization (Bohr magnetons per cell): 0.00
# Calculated volume (Å³/cell): 174.6
# N(E_F) (states/eV/cell): 7.814
data_TaZnSn2
_space_group_name_H-M_alt 'P 1'
_space_group_IT_number 1
_cell_length_a 7.727
_cell_length_b 7.727
_cell_length_c 6.197
_cell_angle_alpha 51.43
_cell_angle_beta 51.43
_cell_angle_gamma 90.00
loop_
_space_group_symop_operation_xyz
'x,y,z'
loop_
_atom_site_label
_atom_site_fract_x
_atom_site_fract_y
_atom_site_fract_z
_atom_site_occupancy
Sn1 0.875 0.862 0.750 1
Ta1 0.750 0.250 0.500 1
Sn2 0.375 0.388 0.750 1
Zn1 0.250 0.750 0.500 1
Sn3 0.138 0.625 0.250 1
Sn4 0.612 0.125 0.250 1
Zn2 0.500 0.500 0.000 1
Ta2 0.000 0.000 0.000 1



# TaZn3Sn | Alexandria via LeMat-Bulk | PBE | optimized geometry
# Spin magnetization (Bohr magnetons per cell): 0.39
# Calculated volume (Å³/cell): 128.3
# ΔE to the lowest computed polymorph (eV per atom): 0.000
# N(E_F) (states/eV/cell): 5.253
data_TaZn3Sn
_space_group_name_H-M_alt 'P 1'
_space_group_IT_number 1
_cell_length_a 5.044
_cell_length_b 5.044
_cell_length_c 5.044
_cell_angle_alpha 90.00
_cell_angle_beta 90.00
_cell_angle_gamma 90.00
loop_
_space_group_symop_operation_xyz
'x,y,z'
loop_
_atom_site_label
_atom_site_fract_x
_atom_site_fract_y
_atom_site_fract_z
_atom_site_occupancy
Zn1 0.500 0.000 0.000 1
Sn1 0.500 0.500 0.500 1
Ta1 0.000 0.000 0.000 1
Zn2 0.000 0.500 0.000 1
Zn3 0.000 0.000 0.500 1



Number 1: uncorrected energy -7.51 eV/atom. Number 2: uncorrected energy -7.67 eV/atom. Number 3: uncorrected energy -5.13 eV/atom. Number 4: uncorrected energy -6.76 eV/atom. Number 5: uncorrected energy -4.73 eV/atom. Number 6: uncorrected energy -2.97 eV/atom.